9
Lattice="5.3534 -2.1763 0.0000 5.3534 2.1763 0.0000 -2.7450 0.0000 7.7006" Properties=species:S:1:pos:R:3 comment="Dy3Ge4Ru2 (PBE-GGA, optimized geometry)" ef_ev_per_atom=-0.760 mass_density_g_cm3=9.07 pbc="T T T"
Dy 0.0000 0.0000 0.0000
Dy 3.1992 0.0000 2.3364
Dy 4.7626 0.0000 5.3642
Ge -0.1097 0.0000 3.1069
Ge 0.5410 0.0000 7.0993
Ge 7.4208 0.0000 0.6013
Ge 8.0715 0.0000 4.5937
Ru 1.6602 0.0000 4.9283
Ru 6.3016 0.0000 2.7723